Density functional theory data (PBE with a Hubbard U) for VCdAgF6 after structural relaxation.

E	-4.719	eV/atom
magnetization	0.22	μB/atom
SG	No. 102

Unit cell a=5.1703 b=5.1703 c=10.3292 alpha=90.00 beta=90.00 gamma=90.00
Last column: nearest neighbours and their distance in Å.
Fractional coordinates of all 18 atoms:
V1 0.0000 0.0000 0.0000  6 F 1.97-2.01
V2 0.5000 0.5000 0.5000  6 F 1.97-2.01
Cd1 0.0000 0.0000 0.3363  6 F 2.25-2.32
Cd2 0.5000 0.5000 0.8363  6 F 2.25-2.32
Ag1 0.0000 0.0000 0.6636  6 F 2.39-2.50
Ag2 0.5000 0.5000 0.1636  6 F 2.39-2.50
F1 0.1739 0.1739 0.1487  1 V 1.99
F2 0.1938 0.1938 0.8622  1 V 2.01
F3 0.2318 0.2318 0.4852  1 V 1.97
F4 0.2682 0.7318 0.9852  1 V 1.97
F5 0.3062 0.6938 0.3622  1 V 2.01
F6 0.3261 0.6739 0.6487  1 V 1.99
F7 0.6739 0.3261 0.6487  1 V 1.99
F8 0.6938 0.3062 0.3622  1 V 2.01
F9 0.7318 0.2682 0.9852  1 V 1.97
F10 0.7682 0.7682 0.4852  1 V 1.97
F11 0.8062 0.8062 0.8622  1 V 2.01
F12 0.8261 0.8261 0.1487  1 V 1.99